# Ti3Fe2P6WO24, optimized geometry, DFT GGA+U
# Space-group type = No. 146
# Calculated total energy = -277.44 eV per cell
data_Ti3Fe2P6WO24
_space_group_name_H-M_alt 'P 1'
_space_group_IT_number 1
_space_group_name_Hall 'P 1'
_cell_length_a 8.622
_cell_length_b 8.622
_cell_length_c 8.622
_cell_angle_alpha 60.88
_cell_angle_beta 60.88
_cell_angle_gamma 60.88
loop_
_atom_site_label
_atom_site_fract_x
_atom_site_fract_y
_atom_site_fract_z
Ti1 0.000 0.000 0.000
Ti2 0.211 0.211 0.211
Ti3 0.501 0.501 0.501
Fe1 0.354 0.354 0.354
Fe2 0.859 0.859 0.859
P1 0.114 0.812 0.393
P2 0.309 0.606 0.903
P3 0.393 0.114 0.812
P4 0.606 0.903 0.309
P5 0.812 0.393 0.114
P6 0.903 0.309 0.606
W1 0.717 0.717 0.717
O1 0.041 0.855 0.241
O2 0.098 0.282 0.446
O3 0.116 0.768 0.912
O4 0.190 0.966 0.338
O5 0.241 0.041 0.855
O6 0.272 0.616 0.408
O7 0.282 0.446 0.098
O8 0.338 0.190 0.966
O9 0.358 0.544 0.738
O10 0.408 0.272 0.616
O11 0.446 0.098 0.282
O12 0.462 0.663 0.878
O13 0.544 0.738 0.358
O14 0.589 0.960 0.807
O15 0.616 0.408 0.272
O16 0.663 0.878 0.462
O17 0.738 0.358 0.544
O18 0.768 0.912 0.116
O19 0.807 0.589 0.960
O20 0.855 0.241 0.041
O21 0.878 0.462 0.663
O22 0.912 0.116 0.768
O23 0.960 0.807 0.589
O24 0.966 0.338 0.190